--- w ---
# RbLa3Ni

A relaxed structure of RbLa3Ni (GGA-PBE, the Alexandria database).

## Properties
Space group: Pm-3m
Spin magnetization (Bohr magnetons per cell): 0.0

a b c (Å): 5.609 5.609 5.609
angles (deg): 90.00 90.00 90.00
Sites, in units of the cell vectors:
Rb: 0.000 0.000 0.000
La: 0.000 0.000 0.500
La: 0.000 0.500 0.000
La: 0.500 0.000 0.000
Ni: 0.500 0.500 0.500

--- x ---
# RbLa3Ni

A relaxed structure of RbLa3Ni (GGA-PBE, the Alexandria database).

## Properties
Space group: Pm-3m
Spin magnetization (Bohr magnetons per cell): 0.0

a b c (Å): 5.778 5.778 5.778
angles (deg): 90.00 90.00 90.00
Sites, in units of the cell vectors:
Rb: 0.000 0.000 0.000
La: 0.000 0.500 0.500
La: 0.500 0.000 0.500
La: 0.500 0.500 0.000
Ni: 0.500 0.500 0.500

What is the stability order? It is x, w, from most stable to least stable.

--- w ---
# RbLa2NiRh

A relaxed structure of RbLa2NiRh (GGA-PBE, the Alexandria database).

## Properties
Space group: P4/mmm
Spin magnetization (Bohr magnetons per cell): 0.0

a b c (Å): 5.336 5.336 5.404
angles (deg): 90.00 90.00 90.00
Sites, in units of the cell vectors:
Rb: 0.000 0.000 0.000
La: 0.000 0.500 0.500
La: 0.500 0.000 0.500
Ni: 0.000 0.000 0.500
Rh: 0.500 0.500 0.000

--- x ---
# RbLa2NiRh

A relaxed structure of RbLa2NiRh (GGA-PBE, the Alexandria database).

## Properties
Space group: P4/mmm
Spin magnetization (Bohr magnetons per cell): 0.0

a b c (Å): 5.591 5.591 4.447
angles (deg): 90.00 90.00 90.00
Sites, in units of the cell vectors:
Rb: 0.000 0.000 0.000
La: 0.000 0.500 0.000
La: 0.500 0.000 0.000
Ni: 0.000 0.000 0.500
Rh: 0.500 0.500 0.500

What is the stability order? It is w, x, from most stable to least stable.

--- w ---
# RbLaTcNi2

A relaxed structure of RbLaTcNi2 (GGA-PBE, the Alexandria database).

## Properties
Space group: P4/mmm
Spin magnetization (Bohr magnetons per cell): 0.0

a b c (Å): 4.726 4.726 5.109
angles (deg): 90.00 90.00 90.00
Sites, in units of the cell vectors:
Rb: 0.000 0.000 0.000
La: 0.500 0.500 0.000
Tc: 0.000 0.000 0.500
Ni: 0.000 0.500 0.500
Ni: 0.500 0.000 0.500

--- x ---
# RbLaTcNi2

A relaxed structure of RbLaTcNi2 (GGA-PBE, the Alexandria database).

## Properties
Space group: P4/mmm
Spin magnetization (Bohr magnetons per cell): 1.0

a b c (Å): 4.667 4.667 4.946
angles (deg): 90.00 90.00 90.00
Sites, in units of the cell vectors:
Rb: 0.000 0.000 0.000
La: 0.500 0.500 0.500
Tc: 0.000 0.000 0.500
Ni: 0.000 0.500 0.000
Ni: 0.500 0.000 0.000

What is the stability order? It is w, x, from most stable to least stable.

--- w ---
# LaReNi2

A relaxed structure of LaReNi2 (GGA-PBE, the Alexandria database).

## Properties
Space group: I4/mmm
Spin magnetization (Bohr magnetons per cell): 1.3

a b c (Å): 4.768 4.768 4.768
angles (deg): 126.96 126.96 78.32
Sites, in units of the cell vectors:
La: 0.000 0.000 0.000
Re: 0.500 0.500 0.000
Ni: 0.250 0.750 0.500
Ni: 0.750 0.250 0.500

--- x ---
# LaReNi2

A relaxed structure of LaReNi2 (GGA-PBE, the Alexandria database).

## Properties
Space group: Cm
Spin magnetization (Bohr magnetons per cell): 0.0

a b c (Å): 4.211 4.211 5.639
angles (deg): 112.20 112.20 60.02
Sites, in units of the cell vectors:
La: 0.000 0.000 0.000
Re: 0.184 0.184 0.550
Ni: 0.499 0.499 0.495
Ni: 0.813 0.813 0.437

--- y ---
# LaReNi2

A relaxed structure of LaReNi2 (GGA-PBE, the Alexandria database).

## Properties
Space group: R-3m
Spin magnetization (Bohr magnetons per cell): 0.5

a b c (Å): 5.598 5.598 5.598
angles (deg): 44.06 44.06 44.06
Sites, in units of the cell vectors:
La: 0.000 0.000 0.000
Re: 0.500 0.500 0.500
Ni: 0.192 0.192 0.192
Ni: 0.808 0.808 0.808

What is the stability order? It is y, x, w, from most stable to least stable.